No. 1
Material: Na4Np
Method: DFT, GGA-PBE
State: optimized geometry

a b c (Å): 6.6915 6.6915 6.6915
angles (deg): 90.00 90.00 90.00
Closest atoms and distances in Å follow each position.
Fractional coordinates of all 5 atoms:
Na 0.0000 0.0000 0.0000  12 Na 4.73
Na 0.0000 0.5000 0.5000  2 Np 3.35
Na 0.5000 0.0000 0.5000  2 Np 3.35
Na 0.5000 0.5000 0.0000  2 Np 3.35
Np 0.5000 0.5000 0.5000  6 Na 3.35

Values from the calculation:
The total DFT energy (no corrections) is -12.2 eV for the cell shown.

***

No. 2
Material: Na3Np
Method: DFT, GGA-PBE
State: optimized geometry

a b c (Å): 7.4242 7.4242 5.9657
angles (deg): 90.00 90.00 120.00
Closest atoms and distances in Å follow each position.
Fractional coordinates of all 8 atoms:
Na 0.1624 0.3248 0.2500  8 Na 3.62-3.81, 4 Np 3.71
Na 0.1624 0.8376 0.2500  8 Na 3.62-3.81, 4 Np 3.71
Na 0.3248 0.1624 0.7500  8 Na 3.62-3.81, 4 Np 3.71
Na 0.6752 0.8376 0.2500  8 Na 3.62-3.81, 4 Np 3.71
Na 0.8376 0.1624 0.7500  8 Na 3.62-3.81, 4 Np 3.71
Na 0.8376 0.6752 0.7500  8 Na 3.62-3.81, 4 Np 3.71
Np 0.3333 0.6667 0.7500  12 Na 3.71
Np 0.6667 0.3333 0.2500  12 Na 3.71

Values from the calculation:
The total DFT energy (no corrections) is -26.9 eV for the cell shown.

***

No. 3
Material: NaNp3
Method: DFT, GGA-PBE
State: optimized geometry

a b c (Å): 4.8282 4.8282 8.1915
angles (deg): 90.00 90.00 90.00
Closest atoms and distances in Å follow each position.
Fractional coordinates of all 8 atoms:
Na 0.0000 0.0000 0.0000  12 Np 3.17-3.41
Na 0.5000 0.5000 0.5000  12 Np 3.17-3.41
Np 0.0000 0.0000 0.5000  8 Np 3.17, 4 Na 3.41
Np 0.0000 0.5000 0.2500  4 Na 3.17, 8 Np 3.17-3.41
Np 0.0000 0.5000 0.7500  4 Na 3.17, 8 Np 3.17-3.41
Np 0.5000 0.0000 0.2500  4 Na 3.17, 8 Np 3.17-3.41
Np 0.5000 0.0000 0.7500  4 Na 3.17, 8 Np 3.17-3.41
Np 0.5000 0.5000 0.0000  8 Np 3.17, 4 Na 3.41

Values from the calculation:
The total DFT energy (no corrections) is -71.5 eV for the cell shown.

***

No. 4
Material: Na3Np4O12
Method: DFT, GGA-PBE
State: optimized geometry

a b c (Å): 7.1704 7.1704 7.1704
angles (deg): 109.47 109.47 109.47
Closest atoms and distances in Å follow each position.
Fractional coordinates of all 19 atoms:
Na 0.0000 0.5000 0.5000  4 O 2.45
Na 0.5000 0.0000 0.5000  4 O 2.45
Na 0.5000 0.5000 0.0000  4 O 2.45
Np 0.0000 0.0000 0.5000  6 O 2.12
Np 0.0000 0.5000 0.0000  6 O 2.12
Np 0.5000 0.0000 0.0000  6 O 2.12
Np 0.5000 0.5000 0.5000  6 O 2.12
O 0.0813 0.2928 0.7884  2 Np 2.12
O 0.2116 0.5044 0.2928  2 Np 2.12
O 0.2116 0.9187 0.7072  2 Np 2.12
O 0.2928 0.2116 0.5044  2 Np 2.12
O 0.2928 0.7884 0.0813  2 Np 2.12
O 0.4956 0.7072 0.7884  2 Np 2.12
O 0.5044 0.2928 0.2116  2 Np 2.12
O 0.7072 0.2116 0.9187  2 Np 2.12
O 0.7072 0.7884 0.4956  2 Np 2.12
O 0.7884 0.0813 0.2928  2 Np 2.12
O 0.7884 0.4956 0.7072  2 Np 2.12
O 0.9187 0.7072 0.2116  2 Np 2.12

Values from the calculation:
For the uncorrected formation energy, the calculation gives -259 kJ/mol of atoms.

***

No. 5
Material: Na5Np3O12
Method: DFT, GGA-PBE
State: optimized geometry

a b c (Å): 11.6664 11.6664 11.6664
angles (deg): 109.47 109.47 109.47
Closest atoms and distances in Å follow each position.
Fractional coordinates of all 80 atoms:
Na 0.0000 0.0000 0.0000  6 O 2.36
Na 0.0000 0.0000 0.5000  6 O 2.36
Na 0.0000 0.5000 0.0000  6 O 2.36
Na 0.0000 0.5000 0.5000  6 O 2.36
Na 0.1250 0.7500 0.8750  4 O 2.23
Na 0.1250 0.8750 0.2500  4 O 2.23
Na 0.2500 0.1250 0.8750  4 O 2.23
Na 0.2500 0.6250 0.3750  4 O 2.23
Na 0.3750 0.2500 0.6250  4 O 2.23
Na 0.3750 0.6250 0.7500  4 O 2.23
Na 0.5000 0.0000 0.0000  6 O 2.36
Na 0.5000 0.0000 0.5000  6 O 2.36
Na 0.5000 0.5000 0.0000  6 O 2.36
Na 0.5000 0.5000 0.5000  6 O 2.36
Na 0.6250 0.3750 0.2500  4 O 2.23
Na 0.6250 0.7500 0.3750  4 O 2.23
Na 0.7500 0.3750 0.6250  4 O 2.23
Na 0.7500 0.8750 0.1250  4 O 2.23
Na 0.8750 0.1250 0.7500  4 O 2.23
Na 0.8750 0.2500 0.1250  4 O 2.23
Np 0.1250 0.2500 0.3750  4 O 1.97
Np 0.1250 0.3750 0.7500  4 O 1.97
Np 0.2500 0.3750 0.1250  4 O 1.97
Np 0.2500 0.8750 0.6250  4 O 1.97
Np 0.3750 0.1250 0.2500  4 O 1.97
Np 0.3750 0.7500 0.1250  4 O 1.97
Np 0.6250 0.2500 0.8750  4 O 1.97
Np 0.6250 0.8750 0.7500  4 O 1.97
Np 0.7500 0.1250 0.3750  4 O 1.97
Np 0.7500 0.6250 0.8750  4 O 1.97
Np 0.8750 0.6250 0.2500  4 O 1.97
Np 0.8750 0.7500 0.6250  4 O 1.97
O 0.0328 0.7133 0.6568  1 Np 1.97
O 0.0328 0.8195 0.3760  1 Np 1.97
O 0.0565 0.2133 0.1805  1 Np 1.97
O 0.0565 0.3432 0.8760  1 Np 1.97
O 0.1240 0.6805 0.4672  1 Np 1.97
O 0.1240 0.9435 0.6568  1 Np 1.97
O 0.1568 0.2133 0.5328  1 Np 1.97
O 0.1568 0.4435 0.6240  1 Np 1.97
O 0.1805 0.0565 0.2133  1 Np 1.97
O 0.1805 0.6240 0.9672  1 Np 1.97
O 0.2133 0.1805 0.0565  1 Np 1.97
O 0.2133 0.5328 0.1568  1 Np 1.97
O 0.2867 0.3432 0.9672  1 Np 1.97
O 0.2867 0.4435 0.3195  1 Np 1.97
O 0.3195 0.2867 0.4435  1 Np 1.97
O 0.3195 0.5328 0.8760  1 Np 1.97
O 0.3432 0.8760 0.0565  1 Np 1.97
O 0.3432 0.9672 0.2867  1 Np 1.97
O 0.3760 0.0328 0.8195  1 Np 1.97
O 0.3760 0.8432 0.5565  1 Np 1.97
O 0.4435 0.3195 0.2867  1 Np 1.97
O 0.4435 0.6240 0.1568  1 Np 1.97
O 0.4672 0.1240 0.6805  1 Np 1.97
O 0.4672 0.8432 0.7867  1 Np 1.97
O 0.5328 0.1568 0.2133  1 Np 1.97
O 0.5328 0.8760 0.3195  1 Np 1.97
O 0.5565 0.3760 0.8432  1 Np 1.97
O 0.5565 0.6805 0.7133  1 Np 1.97
O 0.6240 0.1568 0.4435  1 Np 1.97
O 0.6240 0.9672 0.1805  1 Np 1.97
O 0.6568 0.0328 0.7133  1 Np 1.97
O 0.6568 0.1240 0.9435  1 Np 1.97
O 0.6805 0.4672 0.1240  1 Np 1.97
O 0.6805 0.7133 0.5565  1 Np 1.97
O 0.7133 0.5565 0.6805  1 Np 1.97
O 0.7133 0.6568 0.0328  1 Np 1.97
O 0.7867 0.4672 0.8432  1 Np 1.97
O 0.7867 0.8195 0.9435  1 Np 1.97
O 0.8195 0.3760 0.0328  1 Np 1.97
O 0.8195 0.9435 0.7867  1 Np 1.97
O 0.8432 0.5565 0.3760  1 Np 1.97
O 0.8432 0.7867 0.4672  1 Np 1.97
O 0.8760 0.0565 0.3432  1 Np 1.97
O 0.8760 0.3195 0.5328  1 Np 1.97
O 0.9435 0.6568 0.1240  1 Np 1.97
O 0.9435 0.7867 0.8195  1 Np 1.97
O 0.9672 0.1805 0.6240  1 Np 1.97
O 0.9672 0.2867 0.3432  1 Np 1.97

Values from the calculation:
For the uncorrected formation energy, the calculation gives -199 kJ/mol of atoms.

***

No. 6
Material: NaNp3O8
Method: DFT, GGA-PBE
State: optimized geometry

a b c (Å): 7.0260 7.0260 7.0260
angles (deg): 58.95 58.95 58.95
Closest atoms and distances in Å follow each position.
Fractional coordinates of all 12 atoms:
Na 0.0000 0.0000 0.0000  6 O 2.49
Np 0.0000 0.0000 0.5000  6 O 2.12-2.25
Np 0.0000 0.5000 0.0000  6 O 2.12-2.25
Np 0.5000 0.0000 0.0000  6 O 2.12-2.25
O 0.1697 0.7543 0.7543  2 Np 2.12
O 0.2264 0.2264 0.2264  3 Np 2.25
O 0.2457 0.2457 0.8303  2 Np 2.12
O 0.2457 0.8303 0.2457  2 Np 2.12
O 0.7543 0.1697 0.7543  2 Np 2.12
O 0.7543 0.7543 0.1697  2 Np 2.12
O 0.7736 0.7736 0.7736  3 Np 2.25
O 0.8303 0.2457 0.2457  2 Np 2.12

Values from the calculation:
For the uncorrected formation energy, the calculation gives -257 kJ/mol of atoms.

***

No. 7
Material: Na3NpO4
Method: DFT, GGA-PBE
State: optimized geometry

a b c (Å): 5.9266 6.7744 5.9422
angles (deg): 90.00 110.95 90.00
Closest atoms and distances in Å follow each position.
Fractional coordinates of all 16 atoms:
Na 0.0000 0.1035 0.2500  4 O 2.39-2.57
Na 0.0000 0.3690 0.7500  6 O 2.38-2.65
Na 0.0000 0.6310 0.2500  6 O 2.38-2.65
Na 0.0000 0.8965 0.7500  4 O 2.39-2.57
Na 0.5000 0.1222 0.7500  6 O 2.39-2.55
Na 0.5000 0.8778 0.2500  6 O 2.39-2.55
Np 0.5000 0.3662 0.2500  6 O 2.07-2.28
Np 0.5000 0.6338 0.7500  6 O 2.07-2.28
O 0.2711 0.1542 0.0381  1 Np 2.07
O 0.2711 0.8458 0.5381  1 Np 2.07
O 0.2946 0.4049 0.5061  2 Np 2.17-2.28, 1 Na 2.41
O 0.2946 0.5951 0.0061  2 Np 2.17-2.28, 1 Na 2.41
O 0.7054 0.4049 0.9939  2 Np 2.17-2.28, 1 Na 2.41
O 0.7054 0.5951 0.4939  2 Np 2.17-2.28, 1 Na 2.41
O 0.7289 0.1542 0.4619  1 Np 2.07
O 0.7289 0.8458 0.9619  1 Np 2.07

Values from the calculation:
For the uncorrected formation energy, the calculation gives -219 kJ/mol of atoms.

***

No. 8
Material: Na4NpO4
Method: DFT, GGA-PBE
State: optimized geometry

a b c (Å): 6.0111 6.0111 8.3414
angles (deg): 120.84 120.84 33.61
Closest atoms and distances in Å follow each position.
Fractional coordinates of all 9 atoms:
Na 0.1218 0.1218 0.4043  4 O 2.39-2.45
Na 0.3010 0.3010 0.1920  5 O 2.38-2.62
Na 0.6990 0.6990 0.8080  5 O 2.38-2.62
Na 0.8782 0.8782 0.5957  4 O 2.39-2.45
Np 0.5000 0.5000 0.0000  6 O 2.09-2.28
O 0.0792 0.0792 0.9082  2 Np 2.28, 2 Na 2.38-2.39
O 0.3173 0.3173 0.7340  1 Np 2.09
O 0.6827 0.6827 0.2660  1 Np 2.09
O 0.9208 0.9208 0.0918  2 Np 2.28, 2 Na 2.38-2.39

Values from the calculation:
For the uncorrected formation energy, the calculation gives -190 kJ/mol of atoms.